Compound: Li2Y2Cu
Source: Alexandria
Functional: PBE
Structure: optimized geometry

Energy above the lowest structure with this stoichiometry = 0.065 eV per atom
SG = P4/mbm, No. 127
Mass density = 3.89 Mg/m³
Energy of formation from the pure elements = 140.7 meV per atom

a b c (Å): 6.629 6.629 4.954
angles (deg): 90.00 90.00 90.00
Element x y z (fractional)
Li (0.136, 0.364, 0.000)
Li (0.364, 0.864, 0.000)
Li (0.636, 0.136, 0.000)
Li (0.864, 0.636, 0.000)
Y (0.182, 0.682, 0.500)
Y (0.318, 0.182, 0.500)
Y (0.682, 0.818, 0.500)
Y (0.818, 0.318, 0.500)
Cu (0.000, 0.000, 0.000)
Cu (0.500, 0.500, 0.000)